3
Lattice="0.000 3.380 3.380 3.380 0.000 3.380 3.380 3.380 0.000" Properties=species:S:1:pos:R:3 comment="PBE-GGA PaTeMo, optimized geometry" dft_energy_ev_per_cell=-21.56 space_group="F-43m (216)" m_tot_mub_per_fu=2.4 crystal_system=cubic pbc="T T T"
Te 0.000 0.000 0.000
Pa 5.070 5.070 5.070
Mo 1.690 1.690 1.690


20
Lattice="-8.905 -2.019 4.077 -1.005 -2.376 -3.371 4.906 -10.149 5.691" Properties=species:S:1:pos:R:3 comment="PBE-GGA NdAg2Te2, optimized geometry" dft_energy_ev_per_cell=-78.35 space_group="Pnma (62)" m_tot_mub_per_fu=0.0 crystal_system=orthorhombic pbc="T T T"
Nd -3.224 -10.179 6.799
Nd 0.823 -8.331 4.290
Nd -1.779 -4.365 -0.402
Nd -5.827 -6.212 2.106
Ag -1.785 -6.085 3.484
Ag -7.565 -8.077 3.939
Ag -0.205 -10.965 6.453
Ag -8.266 -2.898 3.170
Ag -4.799 -3.578 -0.056
Ag -3.219 -8.459 2.912
Ag 3.262 -11.645 3.227
Ag 2.561 -6.466 2.458
Te -2.586 -13.327 6.155
Te -1.591 -10.494 3.862
Te 2.795 -9.347 1.746
Te -7.799 -5.197 4.651
Te -2.418 -1.217 0.242
Te -4.532 -7.063 4.993
Te -0.471 -7.480 1.404
Te -3.413 -4.050 2.535


8
Lattice="-3.057 3.057 6.681 3.057 -3.057 6.681 3.057 3.057 -6.681" Properties=species:S:1:pos:R:3 comment="PBE-GGA ErIn3Au4, optimized geometry" dft_energy_ev_per_cell=-26.39 space_group="I-42m (121)" m_tot_mub_per_fu=0.0 crystal_system=tetragonal pbc="T T T"
Au 1.555 1.555 -1.692
Au 1.502 -1.502 8.373
Au -1.502 1.502 8.373
Au 1.502 1.502 4.989
In 3.057 0.000 3.340
In 0.000 0.000 6.681
In 0.000 3.057 3.340
Er 0.000 0.000 0.000


6
Lattice="3.560 2.055 5.813 -3.560 2.055 5.813 0.000 -4.110 5.813" Properties=species:S:1:pos:R:3 comment="PBE-GGA Tm2O, optimized geometry" dft_energy_ev_per_cell=-33.75 space_group="Fd-3m (227)" m_tot_mub_per_fu=0.7 crystal_system=cubic pbc="T T T"
O 0.000 0.000 8.719
O 0.000 0.000 4.360
Tm 0.000 0.000 6.539
Tm 0.000 -2.055 9.446
Tm 1.780 1.028 9.446
Tm -1.780 1.028 9.446


16
Lattice="6.479 0.000 0.000 0.000 7.963 0.000 0.000 0.000 7.599" Properties=species:S:1:pos:R:3 comment="PBE-GGA HgPbSeO, optimized geometry" dft_energy_ev_per_cell=-57.74 space_group="P2_12_12_1 (19)" crystal_system=orthorhombic pbc="T T T"
Hg 4.986 1.246 2.645
Hg 1.493 5.228 1.154
Hg 4.733 6.717 6.445
Hg 1.746 2.735 4.954
Pb 2.091 0.898 0.701
Pb 5.330 3.084 6.898
Pb 4.388 4.879 3.099
Pb 1.149 7.065 4.500
O 4.024 2.093 0.806
O 0.785 1.888 6.793
O 2.455 6.075 2.994
O 5.694 5.870 4.605
Se 0.829 2.814 2.533
Se 2.411 5.149 6.332
Se 5.650 6.796 1.267
Se 4.068 1.167 5.066


3
Lattice="0.000 3.698 3.698 3.698 0.000 3.698 3.698 3.698 0.000" Properties=species:S:1:pos:R:3 comment="PBE-GGA NaNpPb, optimized geometry" dft_energy_ev_per_cell=-16.33 space_group="F-43m (216)" m_tot_mub_per_fu=4.0 crystal_system=cubic pbc="T T T"
Pb 0.000 0.000 0.000
Na 1.849 1.849 1.849
Np 5.547 5.547 5.547


9
Lattice="-0.203 7.380 2.863 -3.016 -5.974 4.234 3.604 -0.579 1.750" Properties=species:S:1:pos:R:3 comment="PBE-GGA Pr3Cd3PdAu2, optimized geometry" space_group="P-62m (189)" m_tot_mub_per_fu=0.0 crystal_system=hexagonal ef_kj_per_mol_fu=-573 pbc="T T T"
Pr -1.927 0.842 4.248
Pr -0.082 2.963 1.149
Pr -1.210 -2.398 1.700
Cd 0.998 0.062 2.649
Cd 1.650 5.246 3.022
Cd -0.460 -4.770 4.050
Pd 0.000 0.000 0.000
Au 0.662 2.639 4.195
Au -0.276 -1.812 4.652


4
Lattice="0.000 3.393 3.393 3.393 0.000 3.393 3.393 3.393 0.000" Properties=species:S:1:pos:R:3 comment="PBE-GGA LiCdBiPd, optimized geometry" dft_energy_ev_per_cell=-13.42 space_group="F-43m (216)" crystal_system=cubic pbc="T T T"
Bi 3.393 3.393 3.393
Pd 1.697 1.697 1.697
Li 5.090 5.090 5.090
Cd 0.000 0.000 0.000


5
Lattice="-2.097 2.097 5.183 2.097 -2.097 5.183 2.097 2.097 -5.183" Properties=species:S:1:pos:R:3 comment="PBE-GGA LiLaSi2Tc, optimized geometry" dft_energy_ev_per_cell=-30.29 space_group="I-4m2 (119)" m_tot_mub_per_fu=0.0 crystal_system=tetragonal pbc="T T T"
Tc 0.000 2.097 2.591
La 0.000 0.000 0.000
Li 2.097 0.000 2.591
Si 0.000 0.000 6.480
Si 0.000 0.000 3.885


9
Lattice="5.536 0.000 0.000 -2.768 4.795 0.000 0.000 0.000 8.550" Properties=species:S:1:pos:R:3 comment="PBE-GGA TlSn5W3, optimized geometry" dft_energy_ev_per_cell=-58.69 space_group="P6/mmm (191)" m_tot_mub_per_fu=0.0 crystal_system=hexagonal pbc="T T T"
Sn 0.000 3.196 1.816
Sn 2.768 1.598 1.816
Sn 2.768 1.598 6.735
Sn 0.000 0.000 4.275
Sn 0.000 3.196 6.735
Tl 0.000 0.000 0.000
W 1.384 2.397 4.275
W 2.768 0.000 4.275
W -1.384 2.397 4.275


6
Lattice="-3.519 -0.357 3.686 4.629 -2.050 0.681 1.978 5.263 2.397" Properties=species:S:1:pos:R:3 comment="PBE-GGA SrAsPd, optimized geometry" dft_energy_ev_per_cell=-25.56 space_group="P6_3/mmc (194)" crystal_system=hexagonal pbc="T T T"
As 0.680 3.026 4.482
As 2.408 -0.170 2.282
Sr 3.396 2.462 3.481
Sr -0.308 0.395 3.284
Pd 0.989 2.631 1.199
Pd 0.000 0.000 0.000


4
Lattice="2.225 1.285 3.634 -2.225 1.285 3.634 0.000 -2.569 3.634" Properties=species:S:1:pos:R:3 comment="PBE-GGA YNi2Os, optimized geometry" space_group="F-43m (216)" m_tot_mub_per_fu=2.1 crystal_system=cubic ef_kj_per_mol_fu=111 pbc="T T T"
Ni 0.000 0.000 5.451
Ni 0.000 0.000 8.176
Os 0.000 0.000 2.725
Y 0.000 0.000 0.000


12
Lattice="2.270 -6.850 0.000 2.270 6.850 0.000 0.000 0.000 12.480" Properties=species:S:1:pos:R:3 comment="PBE-GGA CsAgTe2PbS, optimized geometry" dft_energy_ev_per_cell=-40.20 space_group="Cmcm (63)" crystal_system=orthorhombic pbc="T T T"
Pb 0.000 0.000 0.000
Pb 0.000 0.000 6.240
Cs 2.270 -2.806 3.120
Cs 2.270 2.806 9.360
Te 2.270 -2.238 12.007
Te 2.270 2.238 0.474
Te 2.270 2.238 5.767
Te 2.270 -2.238 6.714
Ag 2.270 0.965 3.120
Ag 2.270 -0.965 9.360
S 2.270 -6.747 9.360
S 2.270 6.747 3.120


5
Lattice="-2.053 2.053 5.047 2.053 -2.053 5.047 2.053 2.053 -5.047" Properties=species:S:1:pos:R:3 comment="PBE-GGA LaFeSi2Ir, optimized geometry" dft_energy_ev_per_cell=-37.17 space_group="I-4m2 (119)" m_tot_mub_per_fu=0.0 crystal_system=tetragonal pbc="T T T"
Si 0.000 2.053 3.872
Si 0.000 2.053 1.175
Ir 0.000 0.000 5.047
La 2.053 0.000 2.523
Fe 0.000 0.000 0.000


8
Lattice="-1.510 3.478 -1.695 -3.705 0.600 4.530 3.973 3.108 2.839" Properties=species:S:1:pos:R:3 comment="PBE-GGA CdPPtO, optimized geometry" dft_energy_ev_per_cell=-35.92 space_group="Pmc2_1 (26)" m_tot_mub_per_fu=0.0 crystal_system=orthorhombic pbc="T T T"
Cd -2.935 0.582 3.809
Cd 1.444 1.749 2.303
Pt -1.641 3.597 3.754
Pt 2.045 4.876 3.095
P -0.674 3.029 1.728
P 0.207 4.762 4.499
O 2.930 2.980 3.504
O -1.305 1.790 4.834


3
Lattice="-3.048 -1.873 2.913 -3.838 -1.973 -1.631 -0.496 -4.583 0.187" Properties=species:S:1:pos:R:3 comment="PBE-GGA TmAlTc, optimized geometry" dft_energy_ev_per_cell=-15.69 space_group="F-43m (216)" m_tot_mub_per_fu=1.0 crystal_system=cubic pbc="T T T"
Al -1.846 -2.107 0.367
Tm 0.000 0.000 0.000
Tc -5.537 -6.321 1.101


6
Lattice="-1.599 0.611 -3.186 -1.288 -3.379 -0.001 -7.501 2.858 4.311" Properties=species:S:1:pos:R:3 comment="PBE-GGA DyHfAg4, optimized geometry" space_group="P4/mmm (123)" m_tot_mub_per_fu=0.2 crystal_system=tetragonal ef_kj_per_mol_fu=-94 pbc="T T T"
Ag -4.958 1.889 2.850
Ag -2.788 -0.872 -0.821
Ag -2.543 0.969 1.462
Ag -7.599 0.961 1.945
Dy 0.000 0.000 0.000
Hf -5.194 0.045 0.562


8
Lattice="5.501 -2.370 2.318 1.246 4.426 4.484 -4.082 -4.697 -1.589" Properties=species:S:1:pos:R:3 comment="PBE-GGA PrAl5CuPt, optimized geometry" dft_energy_ev_per_cell=-38.21 space_group="Imm2 (44)" m_tot_mub_per_fu=0.0 crystal_system=orthorhombic pbc="T T T"
Al 4.823 -0.870 4.644
Al -0.145 -1.156 2.600
Al 0.041 0.012 0.041
Al -2.171 -1.786 0.555
Al 2.792 -1.478 2.597
Cu 1.673 0.510 1.687
Pr 1.906 0.878 4.798
Pt 5.113 1.558 5.154


10
Lattice="2.748 8.984 -1.224 -5.029 -7.183 3.586 2.524 -0.398 2.741" Properties=species:S:1:pos:R:3 comment="PBE-GGA Cu4Ag, optimized geometry" space_group="Cmmm (65)" crystal_system=orthorhombic ef_kj_per_mol_fu=33 pbc="T T T"
Ag 0.913 2.347 2.062
Ag -0.671 -0.945 3.041
Cu -1.141 0.900 1.181
Cu 0.446 4.199 0.200
Cu 2.422 5.484 1.129
Cu -2.180 -4.081 3.975
Cu -4.242 -5.547 3.099
Cu 1.262 -0.199 1.371
Cu -2.728 -2.398 2.162
Cu 1.961 7.348 -0.737


24
Lattice="7.314 0.000 0.000 0.000 7.503 0.000 -0.007 0.000 7.471" Properties=species:S:1:pos:R:3 comment="PBE-GGA Zn2Au, optimized geometry" space_group="Pma2 (28)" crystal_system=orthorhombic ef_kj_per_mol_fu=-36 pbc="T T T"
Zn 4.572 5.627 5.586
Zn 0.000 3.752 5.583
Zn 2.727 0.001 7.459
Zn 7.301 1.878 7.456
Zn 0.000 7.502 5.594
Zn 0.004 3.752 1.847
Zn 2.730 7.502 3.724
Zn 7.305 5.625 3.721
Zn 2.727 3.753 7.455
Zn 7.304 1.873 3.719
Zn 0.003 0.001 1.858
Zn 7.301 5.630 7.455
Zn 4.578 1.876 5.586
Zn 4.575 1.876 1.851
Zn 4.581 5.628 1.850
Zn 2.731 3.750 3.719
Au 5.358 3.754 7.448
Au 1.947 5.628 1.854
Au 5.361 7.500 3.726
Au 1.943 5.627 5.589
Au 5.362 3.749 3.712
Au 1.946 1.876 1.854
Au 1.943 1.875 5.589
Au 5.358 0.003 7.461


4
Lattice="0.000 3.324 3.324 3.324 0.000 3.324 3.324 3.324 0.000" Properties=species:S:1:pos:R:3 comment="PBE-GGA Y2BW, optimized geometry" dft_energy_ev_per_cell=-28.46 space_group="F-43m (216)" m_tot_mub_per_fu=1.0 crystal_system=cubic pbc="T T T"
Y 0.000 0.000 0.000
Y 4.985 4.985 4.985
W 1.662 1.662 1.662
B 3.324 3.324 3.324


24
Lattice="-0.589 -3.763 0.172 6.594 -1.450 -9.164 9.910 -1.216 7.323" Properties=species:S:1:pos:R:3 comment="PBE-GGA NaScHgS3, optimized geometry" dft_energy_ev_per_cell=-106.63 space_group="Pnma (62)" m_tot_mub_per_fu=0.0 crystal_system=orthorhombic pbc="T T T"
Na 8.994 -4.295 0.202
Na 15.062 -3.442 -2.636
Na 6.921 -2.134 -1.871
Na 0.854 -2.987 0.967
S 5.707 -3.628 3.562
S 12.910 -2.914 1.563
S 6.274 -4.053 -3.816
S 10.208 -2.801 -5.231
S 6.077 -3.834 0.310
S 9.973 -4.209 5.443
S 5.943 -2.220 -7.111
S 3.164 -1.433 0.601
S 12.751 -4.995 -2.270
S 3.006 -3.515 -3.232
S 9.839 -2.595 -1.978
S 9.641 -2.376 2.147
Sc 5.338 -1.719 1.794
Sc 4.489 -3.853 -5.549
Sc 10.578 -4.710 -3.463
Sc 11.426 -2.576 3.880
Hg 8.139 -4.007 3.590
Hg 7.776 -2.422 -5.259
Hg 3.776 -3.529 -0.893
Hg 12.139 -2.900 -0.776


4
Lattice="4.062 0.000 0.000 0.000 2.228 5.597 0.000 -2.228 5.597" Properties=species:S:1:pos:R:3 comment="PBE-GGA Nd2GaSi, optimized geometry" dft_energy_ev_per_cell=-20.78 space_group="Amm2 (38)" m_tot_mub_per_fu=0.3 crystal_system=orthorhombic pbc="T T T"
Nd 2.031 0.000 4.017
Nd 0.000 0.000 7.174
Si 2.031 0.000 0.802
Ga 0.000 0.000 10.393


3
Lattice="1.192 -3.929 -3.225 1.331 -4.659 1.942 -3.250 -4.056 -0.486" Properties=species:S:1:pos:R:3 comment="PBE-GGA NdHoZr, optimized geometry" space_group="F-43m (216)" m_tot_mub_per_fu=0.5 crystal_system=cubic ef_kj_per_mol_fu=270 pbc="T T T"
Nd -0.182 -3.161 -0.442
Zr -0.545 -9.483 -1.327
Ho 0.000 0.000 0.000